Entry 1:
Here is an optimized crystal structure of KLiSmBr5 from Alexandria via LeMat-Bulk. Energies are from GGA-PBE.

```
KLiSmBr5
1.0
4.669 -6.397 0.000
4.669 6.397 0.000
-4.259 0.000 9.822
K Li Sm Br
2 2 2 10
Cartesian
1.476 4.511 7.366
3.605 -4.511 2.455
3.605 3.952 2.455
1.476 -3.952 7.366
4.669 0.000 0.000
2.540 0.000 4.911
-2.239 0.832 9.136
1.939 2.551 3.764
-0.109 -0.832 4.225
1.476 1.113 7.366
5.270 2.551 1.147
-0.190 -2.551 8.675
3.605 -1.113 2.455
5.190 0.832 5.597
3.141 -2.551 6.058
7.319 -0.832 0.686
```

Summary:
- Density: 3.37 g/cm3
- V: 586.77 Å³ per cell
- Electronic total energy: -3.77 eV per atom
- Magnetization: 0.00 μB/atom

---

Entry 2:
Here is an optimized crystal structure of VBi3B from Alexandria via LeMat-Bulk. Energies are from GGA-PBE.

```
VBi3B
1.0
5.245 0.000 0.000
0.000 5.245 0.000
0.000 0.000 5.245
V Bi B
1 3 1
Cartesian
0.000 0.000 0.000
0.000 0.000 2.622
0.000 2.622 0.000
2.622 0.000 0.000
2.622 2.622 2.622
```

Summary:
- Density: 7.93 g/cm3
- V: 144.25 Å³ per cell
- Energy of formation: 6.24 eV/f.u.
- Electronic total energy: -4.24 eV per atom
- Magnetization: 0.03 μB/atom

---

Entry 3:
Here is an optimized crystal structure of Sr2Cu5As4 from Alexandria via LeMat-Bulk. Energies are from GGA-PBE.

```
Sr2Cu5As4
1.0
0.000 5.394 7.092
2.832 0.000 7.092
2.832 5.394 0.000
Sr Cu As
2 5 4
Cartesian
2.832 5.394 2.088
2.832 5.394 12.096
1.416 2.697 0.000
1.416 2.697 3.546
1.416 2.697 7.092
2.832 5.394 7.092
4.248 8.091 10.638
2.832 3.756 5.262
2.832 3.756 8.921
2.832 7.032 5.262
2.832 7.032 8.921
```

Summary:
- Density: 6.08 g/cm3
- V: 216.66 Å³ per cell
- Energy of formation: -3.25 eV/f.u.
- Electronic total energy: -4.15 eV per atom
- Magnetization: 0.00 μB/atom

---

Entry 4:
Here is an optimized crystal structure of AcPdAu2 from Alexandria via LeMat-Bulk. Energies are from GGA-PBE.

```
AcPdAu2
1.0
4.547 0.000 0.000
0.000 4.547 0.000
0.000 0.000 4.444
Ac Pd Au
1 1 2
Cartesian
0.000 0.000 0.000
2.274 2.274 0.000
0.000 2.274 2.222
2.274 0.000 2.222
```

Summary:
- Density: 13.14 g/cm3
- V: 91.90 Å³ per cell
- Energy of formation: -2.09 eV/f.u.
- Electronic total energy: -4.49 eV per atom
- Magnetization: 0.00 μB/atom

---

Entry 5:
Here is an optimized crystal structure of LiScSeN2 from Alexandria via LeMat-Bulk. Energies are from GGA-PBE.

```
LiScSeN2
1.0
3.808 0.000 0.000
0.000 3.808 0.000
0.000 0.000 4.496
Li Sc Se N
1 1 1 2
Cartesian
0.000 0.000 0.000
1.904 1.904 2.248
0.000 0.000 2.248
0.000 1.904 0.000
1.904 0.000 0.000
```

Summary:
- Density: 4.05 g/cm3
- V: 65.20 Å³ per cell
- Electronic total energy: -4.99 eV per atom
- Magnetization: 0.04 μB/atom

---

Entry 6:
Here is an optimized crystal structure of V2HgPRh from Alexandria via LeMat-Bulk. Energies are from GGA-PBE.

```
V2HgPRh
1.0
4.966 0.000 0.000
0.000 4.966 0.000
0.000 0.000 4.908
V Hg P Rh
2 1 1 1
Cartesian
0.000 2.483 0.000
2.483 0.000 0.000
0.000 0.000 0.000
2.483 2.483 2.454
0.000 0.000 2.454
```

Summary:
- Density: 5.99 g/cm3
- V: 121.04 Å³ per cell
- Energy of formation: 8.92 eV/f.u.
- Electronic total energy: -4.48 eV per atom
- Magnetization: 1.14 μB/atom

---

Q: Which value of electronic total energy does entry 2 give?
A: -4.24 eV per atom

---

Q: Number 1 is which compound?
A: KLiSmBr5

---

Q: What is the formula in the fifth record?
A: LiScSeN2

---

Q: What is the magnetization in the second record?
A: 0.03 μB/atom